DFT (GGA+U) results for a relaxed LiNbFe2O6 crystal.

Cell and atoms, written as extended XYZ:
```
10
Lattice="5.116 -0.001 -0.002 2.560 4.430 -0.003 2.560 1.478 4.679" Properties=species:S:1:pos:R:3 pbc="T T T"
Li 7.676 4.430 2.883
O 6.837 3.062 1.054
Fe 5.118 2.953 2.115
O 6.002 1.714 3.508
O 4.165 4.388 1.053
O 4.352 1.411 1.054
O 3.602 2.808 3.509
Nb 2.558 1.476 0.278
O 5.750 4.339 3.507
Fe 2.560 1.478 4.475
```

Magnetization = 6.030 μB per cell
Calculated total energy = -7.05 eV per atom
V = 106 Å³ per cell